VASP calculation (GGA+U) on an optimized crystal structure of CsVP2O7.

Cell lengths 10.2256, 7.8400, 8.4877 Å; angles 75.00, 90.00, 90.00 degrees
Each line ends with the local moment (μB).
Positions (direct):
V  0.1015  0.7589  0.7578  1.90
V  0.8985  0.2411  0.2422  1.90
V  0.6015  0.2411  0.7422  1.90
V  0.3985  0.7589  0.2578  1.90
P  0.5969  0.1300  0.1686  0.00
P  0.4031  0.8700  0.8314  0.00
P  0.1271  0.5747  0.1823  0.00
P  0.6271  0.4253  0.3177  0.00
P  0.8729  0.4253  0.8177  0.00
P  0.9031  0.1300  0.6686  0.00
P  0.3729  0.5747  0.6823  0.00
P  0.0969  0.8700  0.3314  0.00
O  0.8992  0.3257  0.9944  -0.01
O  0.2615  0.9073  0.7689  -0.01
O  0.9498  0.3135  0.7072  0.00
O  0.0664  0.3904  0.2316  0.00
O  0.4336  0.3904  0.7316  0.00
O  0.4934  0.0140  0.7336  0.00
O  0.0852  0.8407  0.5145  -0.01
O  0.2385  0.9073  0.2689  -0.01
O  0.5852  0.1593  0.9855  -0.01
O  0.7285  0.4365  0.7675  0.00
O  0.7615  0.0927  0.7311  -0.01
O  0.5066  0.9860  0.2664  0.00
O  0.9148  0.1593  0.4855  -0.01
O  0.7385  0.0927  0.2311  -0.01
O  0.0502  0.6865  0.2928  0.00
O  0.4498  0.6865  0.7928  0.00
O  0.7715  0.4365  0.2675  0.00
O  0.9336  0.6096  0.7684  0.00
O  0.5664  0.6096  0.2684  0.00
O  0.3992  0.6743  0.5056  -0.01
O  0.2715  0.5635  0.2325  0.00
O  0.0066  0.0140  0.2336  0.00
O  0.1008  0.6743  0.0056  -0.01
O  0.5502  0.3135  0.2072  0.00
O  0.4148  0.8407  0.0145  -0.01
O  0.6008  0.3257  0.4944  -0.01
O  0.9934  0.9860  0.7664  0.00
O  0.2285  0.5635  0.7325  0.00
Cs  0.2992  0.1989  0.4571  0.00
Cs  0.7008  0.8011  0.5429  0.00
Cs  0.2008  0.1989  0.9571  0.00
Cs  0.7992  0.8011  0.0429  0.00

## Properties
VASP energy in eV/cell: -315.713
DOS at the Fermi energy in states/eV/atom: 0.00
Crystal system: monoclinic
SG: P2_1/c (14)